1:
An optimized crystal structure of ZrCr2Ag. Source: Alexandria, functional PBE.

```
data_ZrCr2Ag
_space_group_name_H-M_alt 'P 4/m m m'
_space_group_IT_number 123
_space_group_name_Hall '-P 4 2'
_cell_length_a 3.312
_cell_length_b 3.312
_cell_length_c 6.444
_cell_angle_alpha 90.00
_cell_angle_beta 90.00
_cell_angle_gamma 90.00
loop_
_atom_site_label
_atom_site_fract_x
_atom_site_fract_y
_atom_site_fract_z
Zr1 0.000 0.000 0.000
Cr1 0.500 0.500 0.259
Ag1 0.000 0.000 0.500
```


2:
An optimized crystal structure of ZrCr2Ag. Source: Alexandria, functional PBE.

```
data_ZrCr2Ag
_space_group_name_H-M_alt 'R -3 m'
_space_group_IT_number 166
_space_group_name_Hall '-R 3 2"'
_cell_length_a 3.0360
_cell_length_b 3.0360
_cell_length_c 27.4197
_cell_angle_alpha 90.00
_cell_angle_beta 90.00
_cell_angle_gamma 120.00
loop_
_atom_site_label
_atom_site_fract_x
_atom_site_fract_y
_atom_site_fract_z
Zr1 0.0000 0.0000 0.0000
Cr1 0.0000 0.0000 0.2502
Ag1 0.0000 0.0000 0.5000
```


Which is most stable, and by how much? 1, by 167 meV per atom.


1:
An optimized crystal structure of ZrCr2Ag. Source: Alexandria, functional PBE.

```
data_ZrCr2Ag
_space_group_name_H-M_alt 'C m m 2'
_space_group_IT_number 35
_cell_length_a 3.100
_cell_length_b 4.657
_cell_length_c 8.859
_cell_angle_alpha 90.00
_cell_angle_beta 90.00
_cell_angle_gamma 90.00
loop_
_space_group_symop_operation_xyz
'x,y,z'
'-x,-y,z'
'-x,y,z'
'x,-y,z'
'x+1/2,y+1/2,z'
'-x+1/2,-y+1/2,z'
'-x+1/2,y+1/2,z'
'x+1/2,-y+1/2,z'
loop_
_atom_site_label
_atom_site_fract_x
_atom_site_fract_y
_atom_site_fract_z
Zr1 0.000 0.000 0.000
Cr1 0.000 0.000 0.557
Cr2 0.000 0.500 0.737
Ag1 0.000 0.500 0.295
```


2:
An optimized crystal structure of ZrCr2Ag. Source: Alexandria, functional PBE.

```
data_ZrCr2Ag
_space_group_name_H-M_alt 'I m m 2'
_space_group_IT_number 44
_cell_length_a 3.538
_cell_length_b 4.496
_cell_length_c 8.429
_cell_angle_alpha 90.00
_cell_angle_beta 90.00
_cell_angle_gamma 90.00
loop_
_space_group_symop_operation_xyz
'x,y,z'
'-x,-y,z'
'-x,y,z'
'x,-y,z'
'x+1/2,y+1/2,z+1/2'
'-x+1/2,-y+1/2,z+1/2'
'-x+1/2,y+1/2,z+1/2'
'x+1/2,-y+1/2,z+1/2'
loop_
_atom_site_label
_atom_site_fract_x
_atom_site_fract_y
_atom_site_fract_z
Zr1 0.000 0.000 0.000
Cr1 0.000 0.000 0.452
Cr2 0.000 0.500 0.763
Ag1 0.000 0.500 0.225
```


Which is most stable, and by how much? 2, by 5 meV per atom.


1:
An optimized crystal structure of Cs4Ag. Source: Alexandria, functional PBE.

```
data_Cs4Ag
_space_group_name_H-M_alt 'C 1 2/m 1'
_space_group_IT_number 12
_cell_length_a 17.847
_cell_length_b 10.937
_cell_length_c 12.658
_cell_angle_alpha 90.00
_cell_angle_beta 133.03
_cell_angle_gamma 90.00
loop_
_space_group_symop_operation_xyz
'x,y,z'
'-x,-y,-z'
'-x,y,-z'
'x,-y,z'
'x+1/2,y+1/2,z'
'-x+1/2,-y+1/2,-z'
'-x+1/2,y+1/2,-z'
'x+1/2,-y+1/2,z'
loop_
_atom_site_label
_atom_site_fract_x
_atom_site_fract_y
_atom_site_fract_z
Cs1 0.039 0.000 0.336
Cs2 0.039 0.500 0.338
Cs3 0.214 0.251 0.173
Ag1 0.000 0.249 0.500
```


2:
An optimized crystal structure of Cs4Ag. Source: Alexandria, functional PBE.

```
data_Cs4Ag
_space_group_name_H-M_alt 'P m -3 m'
_space_group_IT_number 221
_space_group_name_Hall '-P 4 2 3'
_cell_length_a 7.646
_cell_length_b 7.646
_cell_length_c 7.646
_cell_angle_alpha 90.00
_cell_angle_beta 90.00
_cell_angle_gamma 90.00
loop_
_atom_site_label
_atom_site_fract_x
_atom_site_fract_y
_atom_site_fract_z
Cs1 0.000 0.000 0.000
Cs2 0.000 0.500 0.500
Ag1 0.500 0.500 0.500
```


Which is most stable, and by how much? 1, by 8 meV per atom.


1:
An optimized crystal structure of CsCu3Ag. Source: Alexandria, functional PBE.

```
data_CsCu3Ag
_space_group_name_H-M_alt 'P m -3 m'
_space_group_IT_number 221
_space_group_name_Hall '-P 4 2 3'
_cell_length_a 5.485
_cell_length_b 5.485
_cell_length_c 5.485
_cell_angle_alpha 90.00
_cell_angle_beta 90.00
_cell_angle_gamma 90.00
loop_
_atom_site_label
_atom_site_fract_x
_atom_site_fract_y
_atom_site_fract_z
Cs1 0.000 0.000 0.000
Cu1 0.000 0.000 0.500
Ag1 0.500 0.500 0.500
```


2:
An optimized crystal structure of CsCu3Ag. Source: Alexandria, functional PBE.

```
data_CsCu3Ag
_space_group_name_H-M_alt 'P m -3 m'
_space_group_IT_number 221
_space_group_name_Hall '-P 4 2 3'
_cell_length_a 5.049
_cell_length_b 5.049
_cell_length_c 5.049
_cell_angle_alpha 90.00
_cell_angle_beta 90.00
_cell_angle_gamma 90.00
loop_
_atom_site_label
_atom_site_fract_x
_atom_site_fract_y
_atom_site_fract_z
Cs1 0.000 0.000 0.000
Cu1 0.000 0.500 0.500
Ag1 0.500 0.500 0.500
```


Which is most stable, and by how much? 2, by 1206 meV per atom.


1:
An optimized crystal structure of Cs2CuAg2. Source: Alexandria, functional PBE.

```
data_Cs2CuAg2
_space_group_name_H-M_alt 'P 4/m b m'
_space_group_IT_number 127
_space_group_name_Hall '-P 4 2ab'
_cell_length_a 7.520
_cell_length_b 7.520
_cell_length_c 5.809
_cell_angle_alpha 90.00
_cell_angle_beta 90.00
_cell_angle_gamma 90.00
loop_
_atom_site_label
_atom_site_fract_x
_atom_site_fract_y
_atom_site_fract_z
Cs1 0.181 0.319 0.000
Cu1 0.000 0.000 0.500
Ag1 0.138 0.638 0.500
```


2:
An optimized crystal structure of Cs2CuAg2. Source: Alexandria, functional PBE.

```
data_Cs2CuAg2
_space_group_name_H-M_alt 'I 4/m m m'
_space_group_IT_number 139
_space_group_name_Hall '-I 4 2'
_cell_length_a 7.132
_cell_length_b 7.132
_cell_length_c 7.965
_cell_angle_alpha 90.00
_cell_angle_beta 90.00
_cell_angle_gamma 90.00
loop_
_atom_site_label
_atom_site_fract_x
_atom_site_fract_y
_atom_site_fract_z
Cs1 0.000 0.500 0.250
Cu1 0.000 0.000 0.000
Ag1 0.000 0.000 0.327
```


3:
An optimized crystal structure of Cs2CuAg2. Source: Alexandria, functional PBE.

```
data_Cs2CuAg2
_space_group_name_H-M_alt 'I 4/m m m'
_space_group_IT_number 139
_space_group_name_Hall '-I 4 2'
_cell_length_a 4.046
_cell_length_b 4.046
_cell_length_c 21.819
_cell_angle_alpha 90.00
_cell_angle_beta 90.00
_cell_angle_gamma 90.00
loop_
_atom_site_label
_atom_site_fract_x
_atom_site_fract_y
_atom_site_fract_z
Cs1 0.000 0.000 0.105
Cu1 0.000 0.000 0.500
Ag1 0.000 0.500 0.250
```


Which is most stable, and by how much? 2, by 29 meV per atom.


1:
An optimized crystal structure of CsCuAg2. Source: Alexandria, functional PBE.

```
data_CsCuAg2
_space_group_name_H-M_alt 'F m -3 m'
_space_group_IT_number 225
_space_group_name_Hall '-F 4 2 3'
_cell_length_a 7.675
_cell_length_b 7.675
_cell_length_c 7.675
_cell_angle_alpha 90.00
_cell_angle_beta 90.00
_cell_angle_gamma 90.00
loop_
_atom_site_label
_atom_site_fract_x
_atom_site_fract_y
_atom_site_fract_z
Cs1 0.000 0.000 0.000
Cu1 0.000 0.000 0.500
Ag1 0.250 0.250 0.250
```


2:
An optimized crystal structure of CsCuAg2. Source: Alexandria, functional PBE.

```
data_CsCuAg2
_space_group_name_H-M_alt 'I 41/a m d'
_space_group_IT_number 141
_cell_length_a 5.520
_cell_length_b 5.520
_cell_length_c 17.650
_cell_angle_alpha 90.00
_cell_angle_beta 90.00
_cell_angle_gamma 90.00
loop_
_space_group_symop_operation_xyz
'x,y,z'
'-x,-y,-z'
'-y+1/4,x+3/4,z+1/4'
'y+1/4,-x+3/4,-z+1/4'
'-x+1/2,-y,z+1/2'
'x+1/2,y,-z+1/2'
'y+1/4,-x+1/4,z+3/4'
'-y+1/4,x+1/4,-z+3/4'
'x,-y,-z'
'-x,y,z'
'-y+1/4,-x+1/4,-z+3/4'
'y+1/4,x+1/4,z+3/4'
'-x+1/2,y,-z+1/2'
'x+1/2,-y,z+1/2'
'y+1/4,x+3/4,-z+1/4'
'-y+1/4,-x+3/4,z+1/4'
'x+1/2,y+1/2,z+1/2'
'-x+1/2,-y+1/2,-z+1/2'
'-y+3/4,x+1/4,z+3/4'
'y+3/4,-x+1/4,-z+3/4'
'-x,-y+1/2,z'
'x,y+1/2,-z'
'y+3/4,-x+3/4,z+1/4'
'-y+3/4,x+3/4,-z+1/4'
'x+1/2,-y+1/2,-z+1/2'
'-x+1/2,y+1/2,z+1/2'
'-y+3/4,-x+3/4,-z+1/4'
'y+3/4,x+3/4,z+1/4'
'-x,y+1/2,-z'
'x,-y+1/2,z'
'y+3/4,x+1/4,-z+3/4'
'-y+3/4,-x+1/4,z+3/4'
loop_
_atom_site_label
_atom_site_fract_x
_atom_site_fract_y
_atom_site_fract_z
Cs1 0.000 0.250 0.375
Cu1 0.000 0.250 0.875
Ag1 0.000 0.000 0.000
```


Which is most stable, and by how much? 2, by 538 meV per atom.